[1]
A plane-wave DFT calculation with PBE was carried out for crystalline Ho2Ga3Pt4Au at its relaxed geometry.

```
data_Ho2Ga3Pt4Au
_chemical_formula_sum 'Ho2 Ga3 Pt4 Au1'
_space_group_name_H-M_alt 'P 1'
_space_group_IT_number 1
_cell_length_a 3.993
_cell_length_b 3.993
_cell_length_c 11.889
_cell_angle_alpha 90.00
_cell_angle_beta 90.00
_cell_angle_gamma 90.00
loop_
_space_group_symop_operation_xyz
'x,y,z'
loop_
_atom_site_label
_atom_site_fract_x
_atom_site_fract_y
_atom_site_fract_z
_atom_site_occupancy
Ho1 0.500 0.000 0.256 1
Ho2 0.000 0.500 0.744 1
Ga1 0.000 0.000 0.500 1
Ga2 0.500 0.000 0.870 1
Ga3 0.000 0.500 0.130 1
Pt1 0.500 0.500 0.000 1
Pt2 0.000 0.000 0.000 1
Pt3 0.500 0.000 0.665 1
Pt4 0.000 0.500 0.335 1
Au1 0.500 0.500 0.500 1
```

Fermi-level density of states (states/eV/atom): 0.40
Magnetic moment (Bohr magnetons per cell): 0.000
Energy of formation (meV/atom): -881
Raw total energy (eV/f.u.): -54.49


[2]
A plane-wave DFT calculation with PBE was carried out for crystalline HoGaPtAu at its relaxed geometry.

```
data_HoGaPtAu
_chemical_formula_sum 'Ho1 Ga1 Pt1 Au1'
_space_group_name_H-M_alt 'P 1'
_space_group_IT_number 1
_cell_length_a 4.765
_cell_length_b 4.765
_cell_length_c 4.765
_cell_angle_alpha 60.00
_cell_angle_beta 60.00
_cell_angle_gamma 60.00
loop_
_space_group_symop_operation_xyz
'x,y,z'
loop_
_atom_site_label
_atom_site_fract_x
_atom_site_fract_y
_atom_site_fract_z
_atom_site_occupancy
Ga1 0.750 0.750 0.750 1
Au1 0.000 0.000 0.000 1
Ho1 0.250 0.250 0.250 1
Pt1 0.500 0.500 0.500 1
```

Fermi-level density of states (states/eV/atom): 0.28
Magnetic moment (Bohr magnetons per cell): 0.000
Energy of formation (meV/atom): -775
Raw total energy (eV/f.u.): -20.02


[3]
A plane-wave DFT calculation with PBE was carried out for crystalline HoPuGa2Au5 at its relaxed geometry.

```
data_HoPuGa2Au5
_chemical_formula_sum 'Ho1 Pu1 Ga2 Au5'
_space_group_name_H-M_alt 'P 1'
_space_group_IT_number 1
_cell_length_a 4.423
_cell_length_b 4.423
_cell_length_c 9.523
_cell_angle_alpha 90.00
_cell_angle_beta 90.00
_cell_angle_gamma 90.00
loop_
_space_group_symop_operation_xyz
'x,y,z'
loop_
_atom_site_label
_atom_site_fract_x
_atom_site_fract_y
_atom_site_fract_z
_atom_site_occupancy
Ho1 0.000 0.000 0.000 1
Pu1 0.000 0.000 0.500 1
Ga1 0.500 0.500 0.127 1
Ga2 0.500 0.500 0.873 1
Au1 0.000 0.500 0.267 1
Au2 0.500 0.000 0.267 1
Au3 0.000 0.500 0.733 1
Au4 0.500 0.000 0.733 1
Au5 0.500 0.500 0.500 1
```

Fermi-level density of states (states/eV/atom): 2.10
Magnetic moment (Bohr magnetons per cell): 5.647
Energy of formation (meV/atom): -385
Raw total energy (eV/f.u.): -44.82


[4]
A plane-wave DFT calculation with PBE was carried out for crystalline HoSc2GaAu4 at its relaxed geometry.

```
data_HoSc2GaAu4
_chemical_formula_sum 'Ho1 Sc2 Ga1 Au4'
_space_group_name_H-M_alt 'P 1'
_space_group_IT_number 1
_cell_length_a 4.750
_cell_length_b 4.750
_cell_length_c 8.663
_cell_angle_alpha 74.09
_cell_angle_beta 74.09
_cell_angle_gamma 60.00
loop_
_space_group_symop_operation_xyz
'x,y,z'
loop_
_atom_site_label
_atom_site_fract_x
_atom_site_fract_y
_atom_site_fract_z
_atom_site_occupancy
Ho1 0.000 0.000 0.000 1
Sc1 0.759 0.759 0.723 1
Sc2 0.241 0.241 0.277 1
Ga1 0.500 0.500 0.500 1
Au1 0.386 0.386 0.842 1
Au2 0.879 0.879 0.363 1
Au3 0.121 0.121 0.637 1
Au4 0.614 0.614 0.158 1
```

Fermi-level density of states (states/eV/atom): 0.40
Magnetic moment (Bohr magnetons per cell): 0.000
Energy of formation (meV/atom): -706
Raw total energy (eV/f.u.): -39.03


[5]
A plane-wave DFT calculation with PBE was carried out for crystalline HoScGa2Au2 at its relaxed geometry.

```
data_HoScGa2Au2
_chemical_formula_sum 'Ho1 Sc1 Ga2 Au2'
_space_group_name_H-M_alt 'P 1'
_space_group_IT_number 1
_cell_length_a 4.483
_cell_length_b 4.483
_cell_length_c 6.803
_cell_angle_alpha 90.00
_cell_angle_beta 90.00
_cell_angle_gamma 120.00
loop_
_space_group_symop_operation_xyz
'x,y,z'
loop_
_atom_site_label
_atom_site_fract_x
_atom_site_fract_y
_atom_site_fract_z
_atom_site_occupancy
Ho1 0.000 0.000 0.000 1
Sc1 0.000 0.000 0.500 1
Ga1 0.667 0.333 0.276 1
Ga2 0.333 0.667 0.724 1
Au1 0.667 0.333 0.727 1
Au2 0.333 0.667 0.273 1
```

Fermi-level density of states (states/eV/atom): 0.44
Magnetic moment (Bohr magnetons per cell): 0.000
Energy of formation (meV/atom): -762
Raw total energy (eV/f.u.): -28.09


[6]
A plane-wave DFT calculation with PBE was carried out for crystalline SmHoGaAu at its relaxed geometry.

```
data_SmHoGaAu
_chemical_formula_sum 'Sm1 Ho1 Ga1 Au1'
_space_group_name_H-M_alt 'P 1'
_space_group_IT_number 1
_cell_length_a 3.832
_cell_length_b 4.535
_cell_length_c 5.966
_cell_angle_alpha 90.00
_cell_angle_beta 108.73
_cell_angle_gamma 90.00
loop_
_space_group_symop_operation_xyz
'x,y,z'
loop_
_atom_site_label
_atom_site_fract_x
_atom_site_fract_y
_atom_site_fract_z
_atom_site_occupancy
Sm1 0.855 0.500 0.711 1
Ho1 0.141 0.000 0.282 1
Ga1 0.422 0.000 0.844 1
Au1 0.582 0.500 0.163 1
```

Distance to the lowest polymorph of the same formula (eV per atom): 0.000
Fermi-level density of states (states/eV/atom): 0.89
Magnetic moment (Bohr magnetons per cell): 0.000
Energy of formation (meV/atom): -703
Raw total energy (eV/f.u.): -18.41


[7]
A plane-wave DFT calculation with PBE was carried out for crystalline SmHoGaAu at its relaxed geometry.

```
data_SmHoGaAu
_chemical_formula_sum 'Sm1 Ho1 Ga1 Au1'
_space_group_name_H-M_alt 'P 1'
_space_group_IT_number 1
_cell_length_a 5.146
_cell_length_b 5.146
_cell_length_c 5.146
_cell_angle_alpha 60.00
_cell_angle_beta 60.00
_cell_angle_gamma 60.00
loop_
_space_group_symop_operation_xyz
'x,y,z'
loop_
_atom_site_label
_atom_site_fract_x
_atom_site_fract_y
_atom_site_fract_z
_atom_site_occupancy
Ga1 0.250 0.250 0.250 1
Au1 0.750 0.750 0.750 1
Ho1 0.000 0.000 0.000 1
Sm1 0.500 0.500 0.500 1
```

Distance to the lowest polymorph of the same formula (eV per atom): 0.034
Fermi-level density of states (states/eV/atom): 0.86
Magnetic moment (Bohr magnetons per cell): 0.000
Energy of formation (meV/atom): -669
Raw total energy (eV/f.u.): -18.28


[8]
A plane-wave DFT calculation with PBE was carried out for crystalline HoGaSnAu at its relaxed geometry.

```
data_HoGaSnAu
_chemical_formula_sum 'Ho1 Ga1 Sn1 Au1'
_space_group_name_H-M_alt 'P 1'
_space_group_IT_number 1
_cell_length_a 5.006
_cell_length_b 5.006
_cell_length_c 5.006
_cell_angle_alpha 60.00
_cell_angle_beta 60.00
_cell_angle_gamma 60.00
loop_
_space_group_symop_operation_xyz
'x,y,z'
loop_
_atom_site_label
_atom_site_fract_x
_atom_site_fract_y
_atom_site_fract_z
_atom_site_occupancy
Au1 0.250 0.250 0.250 1
Ho1 0.500 0.500 0.500 1
Ga1 0.750 0.750 0.750 1
Sn1 0.000 0.000 0.000 1
```

Fermi-level density of states (states/eV/atom): 0.93
Magnetic moment (Bohr magnetons per cell): 0.000
Energy of formation (meV/atom): -429
Raw total energy (eV/f.u.): -16.60


[9]
A plane-wave DFT calculation with PBE was carried out for crystalline SrHoGaAu at its relaxed geometry.

```
data_SrHoGaAu
_chemical_formula_sum 'Sr1 Ho1 Ga1 Au1'
_space_group_name_H-M_alt 'P 1'
_space_group_IT_number 1
_cell_length_a 5.249
_cell_length_b 5.249
_cell_length_c 5.249
_cell_angle_alpha 60.00
_cell_angle_beta 60.00
_cell_angle_gamma 60.00
loop_
_space_group_symop_operation_xyz
'x,y,z'
loop_
_atom_site_label
_atom_site_fract_x
_atom_site_fract_y
_atom_site_fract_z
_atom_site_occupancy
Sr1 0.000 0.000 0.000 1
Au1 0.250 0.250 0.250 1
Ho1 0.500 0.500 0.500 1
Ga1 0.750 0.750 0.750 1
```

Fermi-level density of states (states/eV/atom): 1.08
Magnetic moment (Bohr magnetons per cell): 0.000
Energy of formation (meV/atom): -543
Raw total energy (eV/f.u.): -14.74


[10]
A plane-wave DFT calculation with PBE was carried out for crystalline SrHoGa2Au5 at its relaxed geometry.

```
data_SrHoGa2Au5
_chemical_formula_sum 'Sr1 Ho1 Ga2 Au5'
_space_group_name_H-M_alt 'P 1'
_space_group_IT_number 1
_cell_length_a 4.889
_cell_length_b 4.889
_cell_length_c 8.259
_cell_angle_alpha 90.00
_cell_angle_beta 90.00
_cell_angle_gamma 90.00
loop_
_space_group_symop_operation_xyz
'x,y,z'
loop_
_atom_site_label
_atom_site_fract_x
_atom_site_fract_y
_atom_site_fract_z
_atom_site_occupancy
Sr1 0.000 0.000 0.500 1
Ho1 0.000 0.000 0.000 1
Ga1 0.500 0.500 0.154 1
Ga2 0.500 0.500 0.846 1
Au1 0.000 0.500 0.240 1
Au2 0.500 0.000 0.240 1
Au3 0.000 0.500 0.760 1
Au4 0.500 0.000 0.760 1
Au5 0.500 0.500 0.500 1
```

Fermi-level density of states (states/eV/atom): 0.51
Magnetic moment (Bohr magnetons per cell): 0.000
Energy of formation (meV/atom): -492
Raw total energy (eV/f.u.): -33.13